Entry 1:
This record from Alexandria describes a geometry-optimized Cs3AsI6 structure. The functional is GGA-PBE.

The formation energy (no corrections) comes out at -0.99 eV per atom. As for the distance to the lowest polymorph of the same formula: 0.000 eV per atom.

The structure belongs to space group P2_1/c (No. 14); the cell edges are 8.9006, 9.4007 and 15.4997 Å and the angles 90.00°, 124.88° and 90.00°. The asymmetric unit holds Cs at (0.0000, 0.0000, 0.0000), Cs at (0.2231, 0.0746, 0.7500), As at (0.5000, 0.0000, 0.5000), I at (0.1868, 0.1691, 0.4519), I at (0.2801, 0.7413, 0.4390) and I at (0.3933, 0.0357, 0.2861).

***

Entry 2:
This record from Alexandria describes a geometry-optimized Cs2As2I structure. The functional is GGA-PBE.

The formation energy (no corrections) comes out at -0.61 eV per atom. As for the distance to the lowest polymorph of the same formula: 0.000 eV per atom.

The structure belongs to space group P4/mbm (No. 127); the cell edges are 9.7443, 9.7443 and 4.7961 Å and the angles 90.00°, 90.00° and 90.00°. The asymmetric unit holds Cs at (0.2075, 0.2925, 0.0000), As at (0.0803, 0.5803, 0.5000) and I at (0.0000, 0.0000, 0.5000).

***

Entry 3:
This record from Alexandria describes a geometry-optimized CsAs2I structure. The functional is GGA-PBE.

The formation energy (no corrections) comes out at 0.63 eV per atom.

The structure belongs to space group Fm-3m (No. 225); the cell edges are 7.9673, 7.9673 and 7.9673 Å and the angles 90.00°, 90.00° and 90.00°. The asymmetric unit holds Cs at (0.0000, 0.0000, 0.0000), As at (0.2500, 0.2500, 0.2500) and I at (0.0000, 0.0000, 0.5000).